Material: Ti8BP2
Method: DFT, PBE-GGA
State: relaxed

Lattice parameters (Å, degrees): 3.4378 6.6127 7.5130 94.82 103.23 90.00
Fractional coordinates of all 11 atoms:
Ti 0.4079 0.4801 0.8158
Ti 0.6556 0.0143 0.3112
Ti 0.7931 0.6468 0.5863
Ti 0.0028 0.2196 0.0056
Ti 0.2069 0.3532 0.4137
Ti 0.3444 0.9857 0.6888
Ti 0.5921 0.5199 0.1842
Ti 0.9972 0.7804 0.9944
B 0.5000 0.0000 0.0000
P 0.8186 0.2532 0.6371
P 0.1814 0.7468 0.3629

Properties
Crystal system: monoclinic
Calculated total energy (eV/cell): -87.6
DFT formation energy (meV per atom): -633